DFT (PBE with a Hubbard U) results for an optimized crystal structure of KMnCoO3.

Computed properties:
DOS(E_F)	0.27	states/eV/atom
magnetic moment	7.0	μB per formula unit
electronic total energy	-6.066	eV/atom

abc: 5.950 5.950 5.538
angles: 90.00 90.00 124.69
Fractional positions:
K 0.245 0.755 0.750
K 0.755 0.245 0.250
Mn 0.444 0.556 0.250
Mn 0.556 0.444 0.750
Co 0.073 0.927 0.250
Co 0.927 0.073 0.750
O 0.254 0.746 0.250
O 0.256 0.256 0.000
O 0.256 0.256 0.500
O 0.744 0.744 0.000
O 0.744 0.744 0.500
O 0.746 0.254 0.750